# 1
Computed, not measured: an optimized crystal structure of NaCu3Te2 at the PBE-GGA level of DFT.

a b c (Å): 4.208 8.336 8.827
angles (deg): 116.64 90.00 104.62
Element x y z (fractional)
Na 0.872 0.744 0.894
Na 0.128 0.256 0.106
Cu 0.310 0.620 0.539
Cu 0.949 0.898 0.589
Cu 0.587 0.174 0.607
Cu 0.413 0.826 0.393
Cu 0.051 0.102 0.411
Cu 0.690 0.380 0.461
Te 0.499 0.997 0.787
Te 0.501 0.003 0.213
Te 0.791 0.583 0.303
Te 0.209 0.417 0.697

Results
* space group: C2/m (12)
* excess energy over the best structure of this formula in the dataset: 0.00 eV/f.u.


# 2
Computed, not measured: an optimized crystal structure of Tl12Bi3I5 at the PBE-GGA level of DFT.

a b c (Å): 17.073 17.073 17.073
angles (deg): 109.47 109.47 109.47
Element x y z (fractional)
Bi 0.750 0.375 0.125
Bi 0.875 0.750 0.125
Bi 0.375 0.750 0.625
Bi 0.250 0.125 0.375
Bi 0.875 0.125 0.250
Bi 0.375 0.625 0.250
Bi 0.625 0.375 0.750
Bi 0.125 0.875 0.750
Bi 0.750 0.875 0.625
Bi 0.625 0.250 0.375
Bi 0.125 0.250 0.875
Bi 0.250 0.625 0.875
I 0.125 0.375 0.250
I 0.000 0.500 0.000
I 0.000 0.000 0.000
I 0.375 0.250 0.125
I 0.500 0.000 0.500
I 0.500 0.500 0.000
I 0.125 0.750 0.375
I 0.750 0.125 0.875
I 0.750 0.625 0.375
I 0.375 0.125 0.750
I 0.625 0.875 0.250
I 0.500 0.500 0.500
I 0.500 0.000 0.000
I 0.000 0.000 0.500
I 0.250 0.375 0.625
I 0.250 0.875 0.125
I 0.000 0.500 0.500
I 0.875 0.250 0.625
I 0.625 0.750 0.875
I 0.875 0.625 0.750
Tl 0.729 0.153 0.066
Tl 0.337 0.566 0.413
Tl 0.934 0.347 0.271
Tl 0.566 0.229 0.153
Tl 0.576 0.729 0.663
Tl 0.934 0.587 0.163
Tl 0.337 0.771 0.424
Tl 0.087 0.924 0.153
Tl 0.587 0.934 0.663
Tl 0.729 0.576 0.163
Tl 0.771 0.434 0.347
Tl 0.837 0.913 0.066
Tl 0.153 0.729 0.566
Tl 0.347 0.413 0.076
Tl 0.076 0.913 0.347
Tl 0.424 0.153 0.587
Tl 0.076 0.163 0.229
Tl 0.434 0.663 0.087
Tl 0.837 0.924 0.271
Tl 0.153 0.424 0.087
Tl 0.347 0.934 0.771
Tl 0.587 0.653 0.424
Tl 0.913 0.837 0.566
Tl 0.771 0.337 0.924
Tl 0.413 0.347 0.576
Tl 0.087 0.163 0.434
Tl 0.229 0.663 0.076
Tl 0.163 0.076 0.729
Tl 0.653 0.066 0.229
Tl 0.847 0.576 0.913
Tl 0.566 0.337 0.913
Tl 0.576 0.847 0.413
Tl 0.924 0.837 0.771
Tl 0.924 0.087 0.653
Tl 0.847 0.271 0.434
Tl 0.163 0.087 0.934
Tl 0.653 0.587 0.924
Tl 0.413 0.066 0.337
Tl 0.271 0.424 0.837
Tl 0.229 0.566 0.653
Tl 0.913 0.076 0.847
Tl 0.663 0.229 0.576
Tl 0.434 0.771 0.847
Tl 0.066 0.413 0.837
Tl 0.424 0.271 0.337
Tl 0.066 0.653 0.729
Tl 0.663 0.434 0.587
Tl 0.271 0.847 0.934

Results
* uncorrected energy: -2.5487 eV/atom
* space group: Ia-3d (230)


# 3
Computed, not measured: an optimized crystal structure of V2GaI2 at the PBE-GGA level of DFT.

a b c (Å): 3.604 3.604 10.049
angles (deg): 79.67 79.67 90.00
Element x y z (fractional)
I 0.358 0.358 0.285
I 0.642 0.642 0.715
Ga 0.000 0.000 0.000
V 0.750 0.250 0.500
V 0.250 0.750 0.500

Results
* space group: I4/mmm (139)
* excess energy over the best structure of this formula in the dataset: 0.00 eV/f.u.


# 4
Computed, not measured: an optimized crystal structure of Ca6Hg5Au at the PBE-GGA level of DFT.

a b c (Å): 5.362 7.428 8.466
angles (deg): 90.00 108.27 90.00
Element x y z (fractional)
Ca 0.837 0.753 0.673
Ca 0.837 0.247 0.673
Ca 0.500 0.242 0.000
Ca 0.500 0.758 0.000
Ca 0.163 0.753 0.327
Ca 0.163 0.247 0.327
Au 0.000 0.000 0.000
Hg 0.666 0.500 0.334
Hg 0.331 0.000 0.660
Hg 0.000 0.500 0.000
Hg 0.669 0.000 0.340
Hg 0.334 0.500 0.666

Results
* ΔH_f (0 K): -0.585 eV per atom
* space group: P2/m (10)


# 5
Computed, not measured: an optimized crystal structure of NbCrTc2C at the PBE-GGA level of DFT.

a b c (Å): 4.119 4.119 3.917
angles (deg): 90.00 90.00 90.00
Element x y z (fractional)
C 0.000 0.000 0.000
Cr 0.000 0.000 0.500
Nb 0.500 0.500 0.500
Tc 0.000 0.500 0.000
Tc 0.500 0.000 0.000

Results
* ΔH_f (0 K): -0.052 eV per atom
* space group: P4/mmm (123)


# 6
Computed, not measured: an optimized crystal structure of GaMoIN2 at the PBE-GGA level of DFT.

a b c (Å): 4.029 4.029 5.776
angles (deg): 90.00 90.00 90.00
Element x y z (fractional)
I 0.000 0.000 0.500
Mo 0.000 0.000 0.000
Ga 0.500 0.500 0.500
N 0.000 0.500 0.000
N 0.500 0.000 0.000

Results
* space group: P4/mmm (123)
* excess energy over the best structure of this formula in the dataset: 0.00 eV/f.u.


Number 1: total magnetic moment 0.00 Bohr magnetons per cell. Number 2: total magnetic moment 0.00 Bohr magnetons per cell. Number 3: total magnetic moment 0.00 Bohr magnetons per cell. Number 4: total magnetic moment 0.00 Bohr magnetons per cell. Number 5: total magnetic moment 1.56 Bohr magnetons per cell. Number 6: total magnetic moment 0.00 Bohr magnetons per cell.